MgRu2Rh2: relaxed, PBE-GGA.

Output
- Distance to the lowest polymorph of the same formula: 0 meV per atom
- DFT formation energy: 0.09 eV per atom
- M_tot: 0.000 μB per atom
- Total energy: -0.2528 Ha/atom

abc: 7.5034 7.5034 2.7716
angles: 90.00 90.00 90.00
With the nearest neighbours (Å) after each atom.
Sites, in units of the cell vectors:
Rh  0.3226  0.1774  0.5000  6 Ru 2.57-2.65, 2 Rh 2.77
Rh  0.6774  0.8226  0.5000  6 Ru 2.57-2.65, 2 Rh 2.77
Rh  0.1774  0.6774  0.5000  6 Ru 2.57-2.65, 2 Rh 2.77
Rh  0.8226  0.3226  0.5000  6 Ru 2.57-2.65, 2 Rh 2.77
Ru  0.1185  0.3815  0.0000  3 Ru 2.51-2.77, 6 Rh 2.57-2.65
Ru  0.8815  0.6185  0.0000  3 Ru 2.51-2.77, 6 Rh 2.57-2.65
Ru  0.3815  0.8815  0.0000  3 Ru 2.51-2.77, 6 Rh 2.57-2.65
Ru  0.6185  0.1185  0.0000  3 Ru 2.51-2.77, 6 Rh 2.57-2.65
Mg  0.0000  0.0000  0.0000  2 Mg 2.77, 4 Ru 3.00, 8 Rh 3.09
Mg  0.5000  0.5000  0.0000  2 Mg 2.77, 4 Ru 3.00, 8 Rh 3.09